DFT (PBE-GGA) results for a geometry-optimized Hf2Zn3Ir structure.

Values from the calculation:
- Total moment: 0.000 Bohr magnetons per cell
- Formation enthalpy at 0 K: -0.411 eV per atom
- Space-group type: Fddd (70)

a b c (Å): 9.707 8.757 7.466
angles (deg): 73.01 59.63 47.36
Atoms (fractional coordinates):
Hf1 0.003 0.247 0.003
Hf2 0.242 0.508 0.242
Hf3 0.247 0.003 0.247
Hf4 0.492 0.758 0.492
Hf5 0.508 0.242 0.508
Hf6 0.753 0.997 0.753
Hf7 0.758 0.492 0.758
Hf8 0.997 0.753 0.997
Zn1 0.058 0.528 0.710
Zn2 0.203 0.710 0.528
Zn3 0.212 0.212 0.538
Zn4 0.290 0.797 0.942
Zn5 0.462 0.462 0.788
Zn6 0.472 0.942 0.797
Zn7 0.528 0.058 0.203
Zn8 0.538 0.538 0.212
Zn9 0.710 0.203 0.058
Zn10 0.788 0.788 0.462
Zn11 0.797 0.290 0.472
Zn12 0.942 0.472 0.290
Ir1 0.042 0.042 0.708
Ir2 0.292 0.292 0.958
Ir3 0.708 0.708 0.042
Ir4 0.958 0.958 0.292